Material: Cr5C
Method: DFT, PBE
State: relaxed

Properties
ΔE to the lowest computed polymorph = 150 meV per atom
Energy of formation = 0.287 eV/atom
VASP energy = -9.270 eV/atom

Unit cell a=2.826 b=2.826 c=7.834 alpha=90.00 beta=90.00 gamma=90.00
Sites, in units of the cell vectors:
Cr1 0.000 0.000 0.000
Cr2 0.000 0.000 0.364
Cr3 0.000 0.000 0.636
Cr4 0.500 0.500 0.179
Cr5 0.500 0.500 0.821
C1 0.500 0.500 0.500

Material: Sm7As5S
Method: DFT, PBE
State: relaxed

Properties
ΔE_f (raw) = -1.4156 eV per atom
VASP energy = -6.062 eV/atom

Unit cell a=7.209 b=7.209 c=24.482 alpha=90.08 beta=90.08 gamma=33.41
Sites, in units of the cell vectors:
Sm1 0.000 0.000 0.000
Sm2 0.000 0.000 0.144
Sm3 0.095 0.095 0.716
Sm4 0.096 0.096 0.427
Sm5 0.268 0.268 0.217
Sm6 0.268 0.268 0.927
Sm7 0.363 0.363 0.644
Sm8 0.364 0.364 0.500
Sm9 0.544 0.544 0.286
Sm10 0.544 0.544 0.858
Sm11 0.627 0.627 0.572
Sm12 0.737 0.737 0.072
Sm13 0.819 0.819 0.786
Sm14 0.820 0.820 0.358
As1 0.182 0.182 0.322
As2 0.182 0.182 0.822
As3 0.455 0.455 0.747
As4 0.456 0.456 0.397
As5 0.635 0.635 0.174
As6 0.635 0.635 0.970
As7 0.728 0.728 0.674
As8 0.729 0.729 0.470
As9 0.908 0.908 0.247
As10 0.908 0.908 0.897
S1 0.384 0.384 0.071
S2 0.980 0.980 0.573

Material: Si2PtW
Method: DFT, PBE
State: relaxed

Properties
ΔE to the lowest computed polymorph = 73 meV per atom
ΔE_f (raw) = -0.1986 eV per atom
VASP energy = -7.659 eV/atom

Unit cell a=2.867 b=3.850 c=5.341 alpha=90.00 beta=90.00 gamma=90.00
Sites, in units of the cell vectors:
Si1 0.000 0.000 0.225
Si2 0.000 0.000 0.775
Pt1 0.000 0.500 0.500
W1 0.500 0.500 0.000

Material: Cd2PbAu
Method: DFT, PBE
State: relaxed

Properties
Energy of formation = -0.027 eV/atom
VASP energy = -2.231 eV/atom

Unit cell a=3.411 b=3.411 c=8.175 alpha=90.00 beta=90.00 gamma=90.00
Sites, in units of the cell vectors:
Cd1 0.000 0.000 0.000
Cd2 0.500 0.500 0.242
Pb1 0.000 0.000 0.547
Au1 0.500 0.500 0.797

Material: Li2AlTl
Method: DFT, PBE
State: relaxed

Properties
Energy of formation = -0.133 eV/atom
VASP energy = -2.617 eV/atom

Unit cell a=3.232 b=3.390 c=6.637 alpha=90.00 beta=90.36 gamma=90.00
Sites, in units of the cell vectors:
Li1 0.001 0.000 0.268
Li2 0.999 0.000 0.732
Al1 0.500 0.500 0.500
Tl1 0.500 0.500 0.000

Material: KRe3Pt
Method: DFT, PBE
State: relaxed

Properties
ΔE to the lowest computed polymorph = 0 meV per atom
Energy of formation = 2.415 eV/atom
VASP energy = -6.481 eV/atom

Unit cell a=4.896 b=4.896 c=4.896 alpha=90.00 beta=90.00 gamma=90.00
Sites, in units of the cell vectors:
K1 0.000 0.000 0.000
Re1 0.000 0.500 0.500
Re2 0.500 0.000 0.500
Re3 0.500 0.500 0.000
Pt1 0.500 0.500 0.500